i.
A relaxed LaCdP2S crystal, computed with PBE.

Lattice parameters (Å, degrees): 4.898 4.898 5.039 90.00 90.00 90.00
Sites, in units of the cell vectors:
P1 0.000 0.500 0.000
P2 0.500 0.000 0.000
S1 0.000 0.000 0.500
Cd1 0.000 0.000 0.000
La1 0.500 0.500 0.500

Values from the calculation:
size of the total moment	0.00	μB per cell
mass density	4744	kg/m3


ii.
A relaxed LaCdP2S crystal, computed with PBE.

Lattice parameters (Å, degrees): 5.572 5.404 5.572 90.00 90.00 90.00
Site moments in Bohr magnetons follow the coordinates.
Sites, in units of the cell vectors:
P1 0.000 0.000 0.500  0.19
P2 0.500 0.000 0.000  0.14
S1 0.000 0.500 0.000  0.19
Cd1 0.500 0.500 0.500  -0.01
La1 0.000 0.000 0.000  0.01

Values from the calculation:
size of the total moment	1.04	μB per cell
mass density	3418	kg/m3


The winner here is i, beating the second structure by 517 meV per atom.


i.
A relaxed La2PaCd crystal, computed with PBE.

Lattice parameters (Å, degrees): 3.405 5.835 5.835 90.00 90.00 90.00
Site moments in Bohr magnetons follow the coordinates.
Sites, in units of the cell vectors:
Cd1 0.500 0.000 0.000  0.00
Pa1 0.500 0.500 0.500  0.33
La1 0.000 0.000 0.500  0.03
La2 0.000 0.500 0.000  0.03

Values from the calculation:
size of the total moment	0.53	μB per cell
mass density	8897	kg/m3


ii.
A relaxed La2PaCd crystal, computed with PBE.

Lattice parameters (Å, degrees): 3.450 3.450 9.793 90.00 90.00 90.00
Sites, in units of the cell vectors:
Cd1 0.500 0.500 0.000
Pa1 0.500 0.500 0.500
La1 0.000 0.000 0.748
La2 0.000 0.000 0.252

Values from the calculation:
size of the total moment	0.00	μB per cell
mass density	8848	kg/m3


The winner here is ii, beating the second structure by 75 meV per atom.


i.
A relaxed La2Cd2Pb crystal, computed with PBE.

Lattice parameters (Å, degrees): 4.975 4.975 7.611 70.92 70.92 90.00
Sites, in units of the cell vectors:
Pb1 0.000 0.000 0.000
Cd1 0.402 0.402 0.196
Cd2 0.598 0.598 0.804
La1 0.750 0.250 0.500
La2 0.250 0.750 0.500

Values from the calculation:
size of the total moment	0.00	μB per cell
mass density	7055	kg/m3


ii.
A relaxed La2Cd2Pb crystal, computed with PBE.

Lattice parameters (Å, degrees): 9.155 9.155 3.816 90.00 90.00 90.00
Sites, in units of the cell vectors:
Pb1 0.000 0.000 0.000
Pb2 0.500 0.500 0.000
Cd1 0.123 0.623 0.500
Cd2 0.623 0.877 0.500
Cd3 0.877 0.377 0.500
Cd4 0.377 0.123 0.500
La1 0.326 0.826 0.000
La2 0.826 0.674 0.000
La3 0.674 0.174 0.000
La4 0.174 0.326 0.000

Values from the calculation:
size of the total moment	0.00	μB per cell
mass density	7371	kg/m3


iii.
A relaxed La2Cd2Pb crystal, computed with PBE.

Lattice parameters (Å, degrees): 4.251 4.251 9.287 76.77 76.77 90.00
Sites, in units of the cell vectors:
Pb1 0.000 0.000 0.000
Cd1 0.750 0.250 0.500
Cd2 0.250 0.750 0.500
La1 0.409 0.409 0.181
La2 0.591 0.591 0.819

Values from the calculation:
size of the total moment	0.00	μB per cell
mass density	7422	kg/m3


iv.
A relaxed La2Cd2Pb crystal, computed with PBE.

Lattice parameters (Å, degrees): 8.673 8.673 4.060 90.00 90.00 90.00
Site moments in Bohr magnetons follow the coordinates.
Sites, in units of the cell vectors:
Pb1 0.000 0.000 0.000  -0.01
Pb2 0.500 0.500 0.000  -0.01
Cd1 0.380 0.880 0.000  0.01
Cd2 0.880 0.620 0.000  0.01
Cd3 0.620 0.120 0.000  0.02
Cd4 0.120 0.380 0.000  0.01
La1 0.176 0.676 0.500  0.09
La2 0.676 0.824 0.500  0.09
La3 0.824 0.324 0.500  0.09
La4 0.324 0.176 0.500  0.09

Values from the calculation:
size of the total moment	0.99	μB per cell
mass density	7720	kg/m3


The winner here is iv, beating the second structure by 106 meV per atom.